K3Ga2Bi4: optimized geometry, PBE.

The space group is C2/c (No. 15) and the conventional cell measures 14.3355, 12.3260 and 8.3481 Å, with angles of 90.00, 106.51 and 90.00 degrees. The asymmetric unit holds K at (0.0000, 0.0949, 0.2500), K at (0.1373, 0.3822, 0.5771), Ga at (0.2012, 0.1093, 0.0121), Bi at (0.1265, 0.3161, 0.0658) and Bi at (0.1860, 0.0958, 0.6647).

The density of states at the Fermi level is 3.54 states/eV/f.u. The crystal system is monoclinic. The calculation puts the relative energy among the computed polymorphs at 0.00 kJ per mole of atoms. The value obtained for the energy relative to the elements is -221.8 meV/atom. The magnetization comes out at 0.00 μB per formula unit. For the volume, the calculation gives 39.3 Å³/atom. The value obtained for the electronic total energy is -2.985 eV per atom.